First-principles (PBE) data for a geometry-optimized Pm4Dy5Tm structure, as listed in Alexandria via LeMat-Bulk.

Unit cell a=17.186 b=3.531 c=11.152 alpha=90.00 beta=90.13 gamma=90.00
Space group C2/m (No. 12)
One atom of each set of equivalent atoms:
1 Pm 0.030 0.000 0.249 [4 per cell]
2 Pm 0.156 0.500 0.750 [4 per cell]
3 Dy 0.000 0.500 0.500 [2 per cell]
4 Dy 0.173 0.000 0.051 [4 per cell]
5 Dy 0.174 0.000 0.447 [4 per cell]
6 Tm 0.000 0.500 0.000 [2 per cell]

Summary:
**Volume**: 33.8 A^3/atom
**Excess energy over the best structure of this formula in the dataset**: 0.000 eV/atom
**Total moment**: 0.00 μB/f.u.